Entry 1:
PBE AlBSeBr2, relaxed; E_form (uncorrected) = 0.592 eV per atom; M_tot = 0.000 Bohr magnetons per cell
1.0
5.037 0.000 0.000
0.000 5.037 0.000
0.000 0.000 4.993
B Se Br Al
1 1 2 1
direct
0.500 0.500 0.500
0.000 0.000 0.500
0.000 0.500 0.000
0.500 0.000 0.000
0.000 0.000 0.000


Entry 2:
PBE AlBSeBr2, relaxed; E_form (uncorrected) = 0.489 eV per atom; M_tot = 0.000 Bohr magnetons per cell
1.0
-1.785 -1.045 4.203
-3.077 -2.893 -2.026
3.059 -3.545 0.417
B Se Br Al
1 1 2 1
direct
0.000 0.000 0.000
0.000 0.000 0.500
0.000 0.500 0.000
0.500 0.000 0.000
0.500 0.500 0.500


Entry 3:
PBE AlVBBr2, relaxed; E_form (uncorrected) = 1.100 eV per atom; M_tot = 0.412 Bohr magnetons per cell
1.0
4.784 0.000 0.000
0.000 5.318 0.000
0.000 0.000 4.784
B Al Br V
1 1 2 1
direct
0.500 0.500 0.500
0.000 0.500 0.000
0.000 0.000 0.500
0.500 0.000 0.000
0.000 0.000 0.000


> The highest E_form (uncorrected) belongs to which entry?

AlVBBr2


> E_form (uncorrected) of number 3 (AlVBBr2)?

1.100 eV per atom